(1)
HfGa2Tc2 | PBE | relaxed

Geometry as CIF:
```
data_HfGa2Tc2
_chemical_formula_sum 'Hf2 Ga4 Tc4'
_cell_length_a 4.1769
_cell_length_b 4.1769
_cell_length_c 10.1550
_cell_angle_alpha 90.00
_cell_angle_beta 90.00
_cell_angle_gamma 90.00
_space_group_name_H-M_alt 'I 4/m m m'
_space_group_IT_number 139
_space_group_name_Hall '-I 4 2'
loop_
_atom_site_label
_atom_site_fract_x
_atom_site_fract_y
_atom_site_fract_z
Hf1 0.0000 0.0000 0.0000
Ga1 0.0000 0.5000 0.2500
Tc1 0.0000 0.0000 0.3892
```

## Properties
energy	-7.27	eV per atom

=====

(2)
HfGa2Te | PBE | relaxed

Geometry as CIF:
```
data_HfGa2Te
_chemical_formula_sum 'Hf4 Ga8 Te4'
_cell_length_a 7.0092
_cell_length_b 7.0092
_cell_length_c 7.0092
_cell_angle_alpha 90.00
_cell_angle_beta 90.00
_cell_angle_gamma 90.00
_space_group_name_H-M_alt 'F -4 3 m'
_space_group_IT_number 216
_space_group_name_Hall 'F -4 2 3'
loop_
_atom_site_label
_atom_site_fract_x
_atom_site_fract_y
_atom_site_fract_z
Hf1 0.0000 0.0000 0.0000
Ga1 0.0000 0.0000 0.5000
Ga2 0.2500 0.2500 0.2500
Te1 0.2500 0.2500 0.7500
```

## Properties
energy	-4.73	eV per atom

=====

(3)
HfTlGa | PBE | relaxed

Geometry as CIF:
```
data_HfTlGa
_chemical_formula_sum 'Hf4 Tl4 Ga4'
_cell_length_a 6.6791
_cell_length_b 6.6791
_cell_length_c 6.6791
_cell_angle_alpha 90.00
_cell_angle_beta 90.00
_cell_angle_gamma 90.00
_space_group_name_H-M_alt 'F -4 3 m'
_space_group_IT_number 216
_space_group_name_Hall 'F -4 2 3'
loop_
_atom_site_label
_atom_site_fract_x
_atom_site_fract_y
_atom_site_fract_z
Hf1 0.0000 0.0000 0.0000
Tl1 0.2500 0.2500 0.7500
Ga1 0.0000 0.0000 0.5000
```

## Properties
energy	-4.49	eV per atom

=====

(4)
HfTl2Ga | PBE | relaxed

Geometry as CIF:
```
data_HfTl2Ga
_chemical_formula_sum 'Hf4 Tl8 Ga4'
_cell_length_a 7.2775
_cell_length_b 7.2775
_cell_length_c 7.2775
_cell_angle_alpha 90.00
_cell_angle_beta 90.00
_cell_angle_gamma 90.00
_space_group_name_H-M_alt 'F -4 3 m'
_space_group_IT_number 216
_space_group_name_Hall 'F -4 2 3'
loop_
_atom_site_label
_atom_site_fract_x
_atom_site_fract_y
_atom_site_fract_z
Hf1 0.0000 0.0000 0.0000
Tl1 0.0000 0.0000 0.5000
Tl2 0.2500 0.2500 0.2500
Ga1 0.2500 0.2500 0.7500
```

## Properties
energy	-4.04	eV per atom

=====

Magnetic moment for every record listed, in sequence, given in μB per atom: 0.000; 0.001; 0.000; 0.003.